# 1
Ca2CdTc (GGA-PBE, relaxed); calculated density = 4.964 g/cm3; total energy = -3.51 eV per atom; formation energy = 0.308 eV per atom; space-group type = Cm, No. 8
1.0
5.978 0.005 -0.007
5.135 3.060 -0.007
1.498 0.413 5.320
Ca Tc Cd
2 1 1
Direct
0.968 0.968 0.070 Ca
0.772 0.772 0.697 Ca
0.223 0.223 0.213 Tc
0.537 0.537 0.519 Cd



# 2
BaMgBi3 (GGA-PBE, relaxed); calculated density = 7.205 g/cm3; total energy = -3.23 eV per atom; formation energy = -0.197 eV per atom; space-group type = Pm-3m, No. 221
1.0
5.664 0.000 0.000
0.000 5.664 0.000
0.000 0.000 5.664
Bi Ba Mg
3 1 1
Direct
0.000 0.000 0.500 Bi
0.500 0.000 0.000 Bi
0.000 0.500 0.000 Bi
0.500 0.500 0.500 Ba
0.000 0.000 0.000 Mg



# 3
HfCu3Pt (GGA-PBE, relaxed); calculated density = 9.650 g/cm3; total energy = -4.88 eV per atom; formation energy = 0.779 eV per atom; space-group type = Pm-3m, No. 221
1.0
-0.421 4.573 -0.186
-3.653 -0.448 -2.752
-2.757 -0.104 3.676
Cu Hf Pt
3 1 1
Direct
0.500 0.000 0.000 Cu
0.000 0.000 0.500 Cu
0.000 0.500 0.000 Cu
0.500 0.500 0.500 Hf
0.000 0.000 0.000 Pt



Among the records above, which one has the lowest formation energy?
BaMgBi3